(1)
Compound: Ho5NiBi
Source: the Alexandria database
Functional: PBE
Structure: relaxed

abc: 6.5007 6.5007 11.2680
angles: 105.35 105.35 61.99
With the nearest neighbours (Å) after each atom.
Fractional coordinates of all 14 atoms:
1 Ho 0.0413 0.3892 0.6369  1 Ni 2.68
2 Ho 0.0412 0.9588 0.7500  2 Ni 2.83
3 Ho 0.2092 0.5502 0.9595  1 Ni 2.55
4 Ho 0.3892 0.0413 0.1369  1 Ni 2.68
5 Ho 0.4498 0.7908 0.5405  1 Ni 2.55
6 Ho 0.5502 0.2092 0.4595  1 Ni 2.55
7 Ho 0.6108 0.9587 0.8631  1 Ni 2.68
8 Ho 0.7908 0.4498 0.0405  1 Ni 2.55
9 Ho 0.9588 0.0412 0.2500  2 Ni 2.83
10 Ho 0.9587 0.6108 0.3631  1 Ni 2.68
11 Ni 0.0000 0.0000 0.0000  6 Ho 2.55-2.83
12 Ni 0.0000 0.0000 0.5000  6 Ho 2.55-2.83
13 Bi 0.4564 0.5436 0.2500  10 Ho 3.24-3.58
14 Bi 0.5436 0.4564 0.7500  10 Ho 3.24-3.58

Output
calculated volume: 28.56 Å³/atom
ΔE_f: -0.210 eV/atom
magnetization: 0.0 μB per formula unit

=====

(2)
Compound: HoNiBi
Source: the Alexandria database
Functional: PBE
Structure: relaxed

abc: 4.3813 4.3813 4.1141
angles: 90.00 90.00 120.00
With the nearest neighbours (Å) after each atom.
Fractional coordinates of all 3 atoms:
1 Ho 0.0000 0.0000 0.0000  3 Ni 3.00, 6 Bi 3.25-3.27
2 Ni 0.3333 0.6667 0.6100  3 Bi 2.57
3 Bi 0.6667 0.3333 0.4967  3 Ni 2.57

Output
calculated volume: 22.80 Å³/atom
ΔE_f: -0.464 eV/atom
magnetization: 0.0 μB per formula unit

=====

(3)
Compound: Ho6NiBi3
Source: the Alexandria database
Functional: PBE
Structure: relaxed

abc: 9.8543 9.8543 6.5117
angles: 90.00 90.00 111.06
With the nearest neighbours (Å) after each atom.
Fractional coordinates of all 20 atoms:
1 Ho 0.0126 0.9874 0.5000  2 Ni 2.74-2.91
2 Ho 0.1022 0.5822 0.9190  1 Ni 2.78
3 Ho 0.2203 0.3651 0.2604  4 Bi 3.11-3.42, 1 Ni 3.45
4 Ho 0.2329 0.7671 0.4303  1 Ni 2.67
5 Ho 0.3651 0.2203 0.7604  4 Bi 3.11-3.42, 1 Ni 3.45
6 Ho 0.4178 0.8978 0.9190  1 Ni 2.78
7 Ho 0.5822 0.1022 0.4190  1 Ni 2.78
8 Ho 0.6349 0.7797 0.2604  4 Bi 3.11-3.42, 1 Ni 3.45
9 Ho 0.7671 0.2329 0.9303  1 Ni 2.67
10 Ho 0.7797 0.6349 0.7604  4 Bi 3.11-3.42, 1 Ni 3.45
11 Ho 0.8978 0.4178 0.4190  1 Ni 2.78
12 Ho 0.9874 0.0126 0.0000  2 Ni 2.74-2.91
13 Ni 0.1414 0.8586 0.7709  5 Ho 2.67-2.91
14 Ni 0.8586 0.1414 0.2709  5 Ho 2.67-2.91
15 Bi 0.0834 0.2905 0.7104  7 Ho 3.11-3.29
16 Bi 0.2905 0.0834 0.2104  7 Ho 3.11-3.29
17 Bi 0.4298 0.5702 0.9151  6 Ho 3.23-3.42
18 Bi 0.5702 0.4298 0.4151  6 Ho 3.23-3.42
19 Bi 0.7095 0.9166 0.7104  7 Ho 3.11-3.29
20 Bi 0.9166 0.7095 0.2104  7 Ho 3.11-3.29

Output
calculated volume: 29.51 Å³/atom
ΔE_f: -0.385 eV/atom
magnetization: 0.0 μB per formula unit

=====

Taking the records one at a time from the top gives DOS at the Fermi energy values of 16.1; 2.1; 13.8 states/eV/cell.